(w)
The following is a DFT calculation (PBE) of an optimized crystal structure of AcPdAu.

Results
Density of states at the Fermi level in states/eV/cell: 1.01

Geometry as extended XYZ:
```
3
Lattice="-1.7981 -2.4545 2.6347 3.0299 0.5598 2.5895 -2.8741 4.5921 -0.7578" Properties=species:S:1:pos:R:3 pbc="T T T"
Ac -0.0069 0.0112 0.0057
Au -1.5222 2.4569 1.2500
Pd -0.1131 0.2294 3.2107
```


(x)
The following is a DFT calculation (PBE) of an optimized crystal structure of AcPdAu.

Results
Density of states at the Fermi level in states/eV/cell: 1.28

Geometry as extended XYZ:
```
3
Lattice="-3.9812 -0.8365 2.7127 -1.8414 -4.5190 0.3107 0.3727 -2.5098 4.1798" Properties=species:S:1:pos:R:3 pbc="T T T"
Ac 0.0000 0.0000 0.0000
Au -2.7250 -3.9327 3.6016
Pd -1.3625 -1.9663 1.8008
```


(y)
The following is a DFT calculation (PBE) of an optimized crystal structure of AcPdAu.

Results
Density of states at the Fermi level in states/eV/cell: 2.86

Geometry as extended XYZ:
```
6
Lattice="-0.9706 -1.0571 4.3195 2.7951 -7.0633 -1.1006 2.8686 5.7141 -0.3551" Properties=species:S:1:pos:R:3 pbc="T T T"
Ac 2.7854 3.2880 1.4306
Ac 1.9077 -5.6944 1.4332
Au 3.2888 -2.5784 2.5061
Au 1.4043 0.1721 0.3577
Pd 2.4829 -2.8298 -0.1346
Pd 2.2101 0.4235 2.9984
```


It turns out (y) is the most stable, with the second structure 8.9 kJ/mol of atoms higher.


(w)
The following is a DFT calculation (PBE) of an optimized crystal structure of Ac4PdAu.

Results
Density of states at the Fermi level in states/eV/cell: 13.92

Geometry as extended XYZ:
```
12
Lattice="-0.5876 6.3140 -3.1170 -5.4451 -2.7651 -4.5747 -5.3076 2.0214 5.0956" Properties=species:S:1:pos:R:3 pbc="T T T"
Ac -4.5665 0.8595 2.6020
Ac -6.1861 -1.6031 -2.0811
Ac -2.7408 -0.5343 -0.5656
Ac -8.0119 -0.2094 1.0865
Ac -8.3255 2.2568 -1.8678
Ac -3.0148 3.3136 -0.7283
Ac -4.9280 1.6612 -3.7148
Ac -6.4123 3.9091 1.1187
Pd -5.5232 1.2067 -0.5188
Pd -5.8171 4.3636 -2.0773
Au -0.1469 1.5785 -0.7792
Au -0.4407 4.7355 -2.3377
```


(x)
The following is a DFT calculation (PBE) of an optimized crystal structure of Ac4PdAu.

Results
Density of states at the Fermi level in states/eV/cell: 15.57

Geometry as extended XYZ:
```
12
Lattice="-0.2956 -6.4149 5.8072 7.5900 4.1087 -0.6878 -5.7599 5.9193 2.5976" Properties=species:S:1:pos:R:3 pbc="T T T"
Ac 3.0423 6.4711 2.5735
Ac -0.7783 1.1504 5.9055
Ac 2.3675 -1.2325 4.2025
Ac -1.1424 -0.1181 1.7150
Ac -0.9607 4.8859 3.4250
Ac -4.7893 -0.4166 6.7767
Ac -1.5062 -2.8383 5.1459
Ac 2.3074 2.4441 1.8065
Pd 1.8281 -0.5780 1.2830
Pd 0.9195 5.0126 0.9581
Au 5.4702 -1.7295 3.8391
Au 4.5616 3.8611 3.5142
```


It turns out (w) is the most stable, with the second structure 8.6 kJ/mol of atoms higher.


(w)
The following is a DFT calculation (PBE) of an optimized crystal structure of AcPd6Au6.

Results
Density of states at the Fermi level in states/eV/cell: 6.63

Geometry as extended XYZ:
```
13
Lattice="5.1270 0.0000 2.0493 2.5271 6.6122 1.1158 0.1092 -0.0601 7.1650" Properties=species:S:1:pos:R:3 pbc="T T T"
Ac 0.0000 0.0000 0.0000
Pd 1.2635 3.3061 0.5579
Pd 3.8271 3.3061 1.5825
Pd 0.0546 -0.0301 3.5825
Pd 2.6181 -0.0301 4.6071
Pd 4.5411 5.0958 3.5152
Pd 3.2222 1.4562 6.8148
Au 3.5054 4.2658 6.1064
Au 4.2579 2.2863 4.2237
Au 0.9385 2.2282 5.0903
Au 1.6978 4.3238 3.1904
Au 2.0441 1.3665 2.3242
Au 5.7193 5.1856 8.0058
```


(x)
The following is a DFT calculation (PBE) of an optimized crystal structure of AcPd6Au6.

Results
Density of states at the Fermi level in states/eV/cell: 4.08

Geometry as extended XYZ:
```
13
Lattice="5.5318 0.0000 0.0000 2.7659 6.6353 -0.0604 2.7659 0.0985 6.6349" Properties=species:S:1:pos:R:3 pbc="T T T"
Ac 0.0000 0.0000 0.0000
Pd 5.5318 4.3867 4.2829
Pd 5.5318 2.3471 2.2916
Pd 2.7659 2.4002 4.2774
Pd 2.7659 4.3336 2.2971
Pd 2.7659 1.4795 1.4445
Pd 8.2977 5.2543 5.1300
Au 1.3830 3.3177 -0.0302
Au 4.1489 3.3177 -0.0302
Au 1.3830 0.0492 3.3174
Au 4.1489 0.0492 3.3174
Au 5.5318 5.1764 1.4339
Au 5.5318 1.5574 5.1406
```


It turns out (w) is the most stable, with the second structure 2.6 kJ/mol of atoms higher.


(w)
The following is a DFT calculation (PBE) of an optimized crystal structure of AcPd4Au2.

Results
Density of states at the Fermi level in states/eV/cell: 6.89

Geometry as extended XYZ:
```
7
Lattice="-6.0374 -0.5529 -2.0720 5.4549 -2.1427 -2.5889 -0.2642 -3.6253 5.2760" Properties=species:S:1:pos:R:3 pbc="T T T"
Ac 0.0000 0.0000 0.0000
Pd -1.6784 -2.2676 -1.6251
Pd 0.8514 -2.6175 -1.7389
Pd -1.6981 -3.7034 2.3541
Pd 0.8317 -4.0533 2.2403
Au 2.4497 -3.5579 0.1784
Au -3.2964 -2.7630 0.4368
```


(x)
The following is a DFT calculation (PBE) of an optimized crystal structure of AcPd4Au2.

Results
Density of states at the Fermi level in states/eV/cell: 2.63

Geometry as extended XYZ:
```
7
Lattice="4.8773 0.0112 2.6220 2.2761 4.9244 1.6330 0.1269 -0.3445 5.6536" Properties=species:S:1:pos:R:3 pbc="T T T"
Ac 0.0000 0.0000 0.0000
Pd 4.7789 2.9886 2.8175
Pd 2.5013 1.6026 7.0910
Pd 3.4783 -0.2001 5.2506
Pd 3.8020 4.7913 4.6580
Au 4.8597 2.2987 5.6102
Au 2.4207 2.2925 4.2983
```


It turns out (x) is the most stable, with the second structure 53.2 kJ/mol of atoms higher.


(w)
The following is a DFT calculation (PBE) of an optimized crystal structure of AcPd2Au3.

Results
Density of states at the Fermi level in states/eV/cell: 2.54

Geometry as extended XYZ:
```
12
Lattice="5.6635 0.0000 0.0000 0.0000 6.6802 -0.8245 0.0000 0.5343 6.7097" Properties=species:S:1:pos:R:3 pbc="T T T"
Ac 1.4159 2.3372 1.9065
Ac 4.2477 4.8774 3.9787
Pd 2.8318 5.1298 1.0762
Pd 0.0000 5.1298 1.0762
Pd 0.0000 2.0848 4.8090
Pd 2.8318 2.0848 4.8090
Au 4.2477 2.9382 0.2460
Au 4.2477 0.8312 2.8289
Au 1.4159 4.2763 5.6392
Au 4.2477 0.1355 0.1105
Au 1.4159 7.0791 5.7747
Au 1.4159 6.3833 3.0563
```


(x)
The following is a DFT calculation (PBE) of an optimized crystal structure of AcPd2Au3.

Results
Density of states at the Fermi level in states/eV/cell: 5.51

Geometry as extended XYZ:
```
12
Lattice="-0.5263 -6.3155 -0.9418 3.0813 -4.0822 3.8590 -4.7246 -3.6381 5.2427" Properties=species:S:1:pos:R:3 pbc="T T T"
Ac -1.1942 -10.5135 5.7883
Ac -0.9754 -3.5223 2.3716
Pd 0.0000 0.0000 0.0000
Pd 1.5406 -2.0411 1.9295
Pd 1.2775 -5.1989 1.4586
Pd -0.2632 -3.1578 -0.4709
Au 0.6066 -5.6494 4.1770
Au -1.0850 -6.6966 1.9258
Au 0.3598 -8.6108 3.7354
Au -1.0846 -7.3392 6.2340
Au -2.7763 -8.3864 3.9828
Au -2.5295 -5.4249 4.4245
```


It turns out (w) is the most stable, with the second structure 14.0 kJ/mol of atoms higher.


(w)
The following is a DFT calculation (PBE) of an optimized crystal structure of Ac8PdAu2.

Results
Density of states at the Fermi level in states/eV/cell: 13.92

Geometry as extended XYZ:
```
11
Lattice="4.0939 0.0000 -0.8696 -0.1341 10.0310 -0.6315 0.0260 0.0491 10.1933" Properties=species:S:1:pos:R:3 pbc="T T T"
Ac 2.3627 5.2308 1.0514
Ac 1.4197 0.1277 6.6832
Ac 0.8877 3.3218 4.1792
Ac 3.9744 7.9041 8.6386
Ac 3.0980 6.7584 4.5131
Ac 2.5661 9.9525 2.0090
Ac 1.6231 4.8493 7.6408
Ac 0.0114 2.1760 0.0536
Pd 2.0469 0.0000 -0.4348
Au 0.5667 7.4832 2.6679
Au 3.4190 2.5970 6.0243
```


(x)
The following is a DFT calculation (PBE) of an optimized crystal structure of Ac8PdAu2.

Results
Density of states at the Fermi level in states/eV/cell: 11.45

Geometry as extended XYZ:
```
11
Lattice="-4.3023 1.3032 3.2162 -0.8585 -7.2265 1.7797 8.3198 2.4420 5.3901" Properties=species:S:1:pos:R:3 pbc="T T T"
Ac 4.6021 -1.4301 6.7357
Ac -0.9736 -5.4162 5.6419
Ac 0.9357 -2.2690 6.9208
Ac 3.4767 1.9973 8.5911
Ac 2.2233 -1.2122 3.4653
Ac 4.1326 1.9349 4.7442
Ac -1.4431 -2.0512 3.6503
Ac -0.3177 -5.4785 1.7949
Pd -2.1511 0.6516 1.6081
Au 1.4954 0.7996 6.4261
Au 1.6636 -4.2809 3.9600
```


It turns out (w) is the most stable, with the second structure 3.8 kJ/mol of atoms higher.


(w)
The following is a DFT calculation (PBE) of an optimized crystal structure of Ac3Pd2Au.

Results
Density of states at the Fermi level in states/eV/cell: 5.43

Geometry as extended XYZ:
```
6
Lattice="3.9007 0.0000 -1.2339 0.0000 4.7859 0.0000 0.9122 0.0000 9.6658" Properties=species:S:1:pos:R:3 pbc="T T T"
Ac 1.9558 0.0000 6.1828
Ac 2.8570 0.0000 2.2491
Ac 1.9503 2.3929 -0.6170
Pd 0.7244 2.3929 2.2900
Pd 4.0884 2.3929 6.1419
Au 0.0000 0.0000 0.0000
```


(x)
The following is a DFT calculation (PBE) of an optimized crystal structure of Ac3Pd2Au.

Results
Density of states at the Fermi level in states/eV/cell: 8.82

Geometry as extended XYZ:
```
12
Lattice="8.1643 0.9245 0.7205 3.5140 7.4272 0.7205 3.5140 2.5130 7.0262" Properties=species:S:1:pos:R:3 pbc="T T T"
Ac 6.4637 2.7022 5.6299
Ac 4.6465 6.7401 3.7090
Ac 7.8802 4.1386 1.2450
Ac 8.7286 8.1625 2.8373
Ac 10.5458 4.1245 4.7581
Ac 7.3121 6.7261 7.2221
Pd 5.3058 3.7944 2.9571
Pd 2.2904 1.6380 1.2765
Pd 12.9019 9.2267 7.1906
Pd 9.8865 7.0703 5.5101
Au 7.5962 5.4323 4.2336
Au 0.0000 0.0000 0.0000
```


It turns out (x) is the most stable, with the second structure 16.9 kJ/mol of atoms higher.


(w)
The following is a DFT calculation (PBE) of an optimized crystal structure of Ac8Pd2Au.

Results
Density of states at the Fermi level in states/eV/cell: 10.99

Geometry as extended XYZ:
```
11
Lattice="5.6637 0.0000 0.0000 0.0000 7.3001 0.0865 -2.8319 -3.0456 9.5068" Properties=species:S:1:pos:R:3 pbc="T T T"
Ac 0.0000 1.4093 7.8172
Ac 2.8319 -1.0329 3.3468
Ac 2.8319 2.8823 5.7466
Ac 2.8319 -1.3142 8.9169
Ac 0.0000 1.3723 3.8467
Ac 0.0000 5.2875 6.2466
Ac 2.8319 2.8452 1.7762
Ac 0.0000 5.5687 0.6765
Pd 2.8319 -0.1861 6.2153
Pd 0.0000 4.4407 3.3780
Au 2.8319 0.0000 0.0000
```


(x)
The following is a DFT calculation (PBE) of an optimized crystal structure of Ac8Pd2Au.

Results
Density of states at the Fermi level in states/eV/cell: 13.88

Geometry as extended XYZ:
```
11
Lattice="-0.7245 -2.4103 -3.2813 5.3465 -5.7237 3.0238 -10.6588 -2.1533 6.5410" Properties=species:S:1:pos:R:3 pbc="T T T"
Ac 1.7722 -6.1937 1.5524
Ac -4.1698 -5.0785 4.6510
Ac -3.8922 -2.0125 2.3376
Ac 0.4235 -2.0062 1.3801
Ac -2.1446 -8.2748 3.9459
Ac -1.8670 -5.2088 1.6325
Ac -7.8090 -4.0936 4.7311
Ac -6.4603 -8.2811 4.9034
Pd -0.1468 -5.5804 4.1314
Pd -5.8900 -4.7069 2.1521
Au -0.3622 -1.2051 -1.6407
```


It turns out (w) is the most stable, with the second structure 4.4 kJ/mol of atoms higher.